Record 1
Entry from the Alexandria database: a relaxed structure of Ba2SrCa8 (PBE).

```
Ba2SrCa8
1.0
5.757 -7.612 0.000
5.757 7.612 0.000
0.000 0.000 6.188
Ba Sr Ca
2 1 8
Direct
0.122 0.878 0.000 Ba
0.878 0.122 0.000 Ba
0.500 0.500 0.500 Sr
0.168 0.168 0.500 Ca
0.205 0.467 0.000 Ca
0.254 0.746 0.500 Ca
0.467 0.205 0.000 Ca
0.533 0.795 0.000 Ca
0.746 0.254 0.500 Ca
0.795 0.533 0.000 Ca
0.832 0.832 0.500 Ca
```

Output
Theoretical density in kg/m3: 2091
Space-group type: Cmmm (65)
E_form in eV/atom: 0.171
Energy above the lowest structure with this stoichiometry in eV per atom: 0.048

***

Record 2
Entry from the Alexandria database: a relaxed structure of MnCu2Ge (PBE).

```
MnCu2Ge
1.0
3.624 0.000 0.000
0.000 3.624 0.000
0.000 0.000 3.929
Mn Cu Ge
1 2 1
Direct
0.000 0.000 0.000 Mn
0.000 0.500 0.500 Cu
0.500 0.000 0.500 Cu
0.500 0.500 0.000 Ge
```

Output
Theoretical density in kg/m3: 8196
Space-group type: P4/mmm (123)
E_form in eV/atom: -0.002

***

Record 3
Entry from the Alexandria database: a relaxed structure of Be2GeH (PBE).

```
Be2GeH
1.0
5.440 0.000 0.000
0.000 5.440 0.000
0.000 0.000 5.440
Be Ge H
8 4 4
Direct
0.250 0.250 0.250 Be
0.250 0.250 0.750 Be
0.250 0.750 0.250 Be
0.250 0.750 0.750 Be
0.750 0.250 0.250 Be
0.750 0.250 0.750 Be
0.750 0.750 0.250 Be
0.750 0.750 0.750 Be
0.000 0.000 0.000 Ge
0.000 0.500 0.500 Ge
0.500 0.000 0.500 Ge
0.500 0.500 0.000 Ge
0.000 0.000 0.500 H
0.000 0.500 0.000 H
0.500 0.000 0.000 H
0.500 0.500 0.500 H
```

Output
Theoretical density in kg/m3: 3782
Space-group type: Fm-3m (225)
Energy above the lowest structure with this stoichiometry in eV per atom: 0.452

***

Record 4
Entry from the Alexandria database: a relaxed structure of YCuHPd2 (PBE).

```
YCuHPd2
1.0
4.060 0.000 0.000
0.000 4.060 0.000
0.000 0.000 4.432
Y Cu H Pd
1 1 1 2
Direct
0.000 0.000 0.000 Y
0.500 0.500 0.000 Cu
0.000 0.000 0.500 H
0.000 0.500 0.500 Pd
0.500 0.000 0.500 Pd
```

Output
Theoretical density in kg/m3: 8327
Space-group type: P4/mmm (123)
Energy above the lowest structure with this stoichiometry in eV per atom: 0.000

***

Record 5
Entry from the Alexandria database: a relaxed structure of Ac3Hg2Rh2 (PBE).

```
Ac3Hg2Rh2
1.0
4.140 0.000 0.000
0.000 23.664 0.000
0.000 0.000 4.059
Ac Hg Rh
6 4 4
Direct
0.000 0.000 0.000 Ac
0.000 0.176 0.000 Ac
0.000 0.824 0.000 Ac
0.500 0.324 0.000 Ac
0.500 0.500 0.000 Ac
0.500 0.676 0.000 Ac
0.000 0.414 0.500 Hg
0.000 0.586 0.500 Hg
0.500 0.086 0.500 Hg
0.500 0.914 0.500 Hg
0.000 0.289 0.500 Rh
0.000 0.711 0.500 Rh
0.500 0.211 0.500 Rh
0.500 0.789 0.500 Rh
```

Output
Theoretical density in kg/m3: 10757
Space-group type: Cmmm (65)
E_form in eV/atom: -0.580

***

Record 6
Entry from the Alexandria database: a relaxed structure of KTe2Se (PBE).

```
KTe2Se
1.0
4.570 0.000 0.000
0.000 4.570 0.000
0.000 0.000 12.610
K Te Se
2 4 2
Direct
0.000 0.000 0.000 K
0.500 0.500 0.500 K
0.000 0.000 0.274 Te
0.000 0.000 0.726 Te
0.500 0.500 0.226 Te
0.500 0.500 0.774 Te
0.000 0.000 0.500 Se
0.500 0.500 0.000 Se
```

Output
Theoretical density in kg/m3: 4708
Space-group type: I4/mmm (139)
Formation energy from raw total energies in eV per atom: -0.4457

***

Record 7
Entry from the Alexandria database: a relaxed structure of Nb2Cd2Cu (PBE).

```
Nb2Cd2Cu
1.0
6.666 0.000 0.000
0.000 6.666 0.000
0.000 0.000 4.301
Nb Cd Cu
4 4 2
Direct
0.153 0.347 0.000 Nb
0.347 0.847 0.000 Nb
0.653 0.153 0.000 Nb
0.847 0.653 0.000 Nb
0.148 0.648 0.500 Cd
0.352 0.148 0.500 Cd
0.648 0.852 0.500 Cd
0.852 0.352 0.500 Cd
0.000 0.000 0.500 Cu
0.500 0.500 0.500 Cu
```

Output
Theoretical density in kg/m3: 8240
Space-group type: P4/mbm (127)
E_form in eV/atom: 0.578
Energy above the lowest structure with this stoichiometry in eV per atom: 0.031

***

Record 8
Entry from the Alexandria database: a relaxed structure of TbCeY (PBE).

```
TbCeY
1.0
3.530 0.000 0.000
-1.765 3.057 0.000
0.000 0.000 8.666
Tb Ce Y
1 1 1
Direct
0.000 0.000 0.000 Tb
0.333 0.667 0.673 Ce
0.667 0.333 0.342 Y
```

Output
Theoretical density in kg/m3: 6890
Space-group type: P3m1 (156)
E_form in eV/atom: 0.068
Energy above the lowest structure with this stoichiometry in eV per atom: 0.000

***

Repeat the seventh record exactly.
Entry from the Alexandria database: a relaxed structure of Nb2Cd2Cu (PBE).

```
Nb2Cd2Cu
1.0
6.666 0.000 0.000
0.000 6.666 0.000
0.000 0.000 4.301
Nb Cd Cu
4 4 2
Direct
0.153 0.347 0.000 Nb
0.347 0.847 0.000 Nb
0.653 0.153 0.000 Nb
0.847 0.653 0.000 Nb
0.148 0.648 0.500 Cd
0.352 0.148 0.500 Cd
0.648 0.852 0.500 Cd
0.852 0.352 0.500 Cd
0.000 0.000 0.500 Cu
0.500 0.500 0.500 Cu
```

Output
Theoretical density in kg/m3: 8240
Space-group type: P4/mbm (127)
E_form in eV/atom: 0.578
Energy above the lowest structure with this stoichiometry in eV per atom: 0.031